1.
Computed, not measured: a geometry-optimized TbGaPIr2 structure at the GGA-PBE level of DFT.

Values from the calculation:
Magnetization, Bohr magnetons per cell: 0.00
V, Å³/atom: 18.5
Final energy, eV/atom: -6.873

extended XYZ file:
```
10
Lattice="-3.455 0.903 2.130 -1.031 -5.322 -3.476 2.363 -4.093 5.567" Properties=species:S:1:pos:R:3 pbc="T T T"
Tb -0.532 -7.139 2.161
Tb -1.591 -1.374 2.060
Ga -1.151 -4.730 4.195
Ga -0.972 -3.782 0.026
P 0.000 0.000 0.000
P 1.181 -2.047 2.783
Ir 1.275 -5.591 4.436
Ir -3.398 -2.921 -0.215
Ir 0.335 -3.964 2.224
Ir -2.459 -4.548 1.998
```

***

2.
Computed, not measured: a geometry-optimized Th2GaP3Ir4 structure at the GGA-PBE level of DFT.

Values from the calculation:
Magnetization, Bohr magnetons per cell: 0.00
V, Å³/atom: 17.3
Final energy, eV/atom: -7.917

extended XYZ file:
```
10
Lattice="4.120 0.000 0.000 0.000 4.120 0.000 0.000 0.000 10.194" Properties=species:S:1:pos:R:3 pbc="T T T"
Th 2.060 0.000 2.531
Th 0.000 2.060 7.663
Ga 2.060 2.060 5.097
P 0.000 0.000 5.097
P 2.060 0.000 8.807
P 0.000 2.060 1.387
Ir 2.060 2.060 0.000
Ir 0.000 0.000 0.000
Ir 2.060 0.000 6.477
Ir 0.000 2.060 3.717
```

***

3.
Computed, not measured: a geometry-optimized PaGaIr2 structure at the GGA-PBE level of DFT.

Values from the calculation:
Magnetization, Bohr magnetons per cell: 0.00
V, Å³/atom: 18.5
Final energy, eV/atom: -8.246

extended XYZ file:
```
4
Lattice="-4.037 1.321 -0.920 -2.905 -2.825 -1.572 -3.606 -1.516 3.379" Properties=species:S:1:pos:R:3 pbc="T T T"
Pa 0.000 0.000 0.000
Ga -5.274 -1.510 0.443
Ir -7.797 -2.176 0.292
Ir -2.751 -0.845 0.594
```

***

4.
Computed, not measured: a geometry-optimized Pa2Ga3Ir structure at the GGA-PBE level of DFT.

Values from the calculation:
Magnetization, Bohr magnetons per cell: 0.00
V, Å³/atom: 19.9
Final energy, eV/atom: -6.726
Offset from the most stable computed form, meV per atom: 0

extended XYZ file:
```
6
Lattice="-3.467 0.397 -0.209 -0.155 -3.067 -3.246 -0.946 -5.497 5.240" Properties=species:S:1:pos:R:3 pbc="T T T"
Pa -0.096 -1.642 -1.519
Pa -0.460 -2.670 2.545
Ga -2.519 -4.363 4.243
Ga -1.887 -0.694 0.746
Ga -2.446 -5.020 1.785
Ir -2.126 -3.161 0.013
```

***

5.
Computed, not measured: a geometry-optimized PaGaIr structure at the GGA-PBE level of DFT.

Values from the calculation:
Magnetization, Bohr magnetons per cell: 0.00
V, Å³/atom: 20.5
Final energy, eV/atom: -7.409

extended XYZ file:
```
6
Lattice="-2.630 -0.698 -3.229 2.412 -3.226 -1.267 -3.680 -4.293 3.927" Properties=species:S:1:pos:R:3 pbc="T T T"
Ir -1.690 -4.991 2.457
Ir -2.099 -1.264 -0.778
Ga 0.646 -2.267 -0.036
Ga -4.435 -3.989 1.715
Pa -1.949 -4.109 -0.284
Pa -1.840 -2.146 1.963
```

***

6.
Computed, not measured: a geometry-optimized PaGaIr2 structure at the GGA-PBE level of DFT.

Values from the calculation:
Magnetization, Bohr magnetons per cell: 0.00
V, Å³/atom: 17.9
Final energy, eV/atom: -8.130

extended XYZ file:
```
4
Lattice="3.918 0.000 0.000 0.000 4.274 0.000 0.000 0.000 4.274" Properties=species:S:1:pos:R:3 pbc="T T T"
Pa 1.959 2.137 2.137
Ga 1.959 0.000 0.000
Ir 0.000 0.000 2.137
Ir 0.000 2.137 0.000
```

***

7.
Computed, not measured: a geometry-optimized Pa2Ga8Ir structure at the GGA-PBE level of DFT.

Values from the calculation:
Magnetization, Bohr magnetons per cell: 0.00
V, Å³/atom: 19.1
Final energy, eV/atom: -5.203

extended XYZ file:
```
11
Lattice="4.349 0.000 0.000 0.000 4.349 0.000 0.000 0.000 11.116" Properties=species:S:1:pos:R:3 pbc="T T T"
Pa 0.000 0.000 3.421
Pa 0.000 0.000 7.695
Ga 0.000 2.175 5.558
Ga 2.175 0.000 5.558
Ga 2.175 2.175 3.427
Ga 2.175 2.175 7.689
Ga 0.000 2.175 1.368
Ga 2.175 0.000 1.368
Ga 0.000 2.175 9.748
Ga 2.175 0.000 9.748
Ir 0.000 0.000 0.000
```

***

8.
Computed, not measured: a geometry-optimized Pa2GaIr3 structure at the GGA-PBE level of DFT.

Values from the calculation:
Magnetization, Bohr magnetons per cell: 0.00
V, Å³/atom: 18.1
Final energy, eV/atom: -8.936

extended XYZ file:
```
12
Lattice="5.558 0.000 0.000 -2.779 4.813 0.000 0.000 0.000 8.115" Properties=species:S:1:pos:R:3 pbc="T T T"
Pa 2.779 1.604 3.522
Pa 0.000 3.209 4.594
Pa 0.000 3.209 7.579
Pa 2.779 1.604 0.536
Ga 0.000 0.000 4.058
Ga 0.000 0.000 0.000
Ir 0.000 1.627 2.029
Ir 1.409 0.814 6.086
Ir 2.779 3.186 6.086
Ir -1.370 4.000 2.029
Ir 4.149 0.814 6.086
Ir 1.370 4.000 2.029
```